No. 1
# MnNb2SnI PBE relaxed
# - SG = No. 123
# - DFT total energy (eV per atom) = -5.54
data_MnNb2SnI
_chemical_formula_sum 'Mn1 Nb2 Sn1 I1'
_symmetry_space_group_name_H-M 'P 1'
_symmetry_Int_Tables_number 1
_cell_length_a 5.395
_cell_length_b 4.974
_cell_length_c 5.395
_cell_angle_alpha 90.00
_cell_angle_beta 90.00
_cell_angle_gamma 90.00
loop_
_symmetry_equiv_pos_as_xyz
'x,y,z'
loop_
_atom_site_label
_atom_site_fract_x
_atom_site_fract_y
_atom_site_fract_z
_atom_site_occupancy
Nb1 0.500 0.000 0.000 1
Mn1 0.000 0.500 0.000 1
I1 0.500 0.500 0.500 1
Nb2 0.000 0.000 0.500 1
Sn1 0.000 0.000 0.000 1



No. 2
# MnNbTeI2 PBE relaxed
# - ΔE to the lowest computed polymorph (kJ/mol of atoms) = 0.0
# - SG = No. 123
# - DFT total energy (eV per atom) = -4.60
data_MnNbTeI2
_chemical_formula_sum 'Mn1 Nb1 Te1 I2'
_symmetry_space_group_name_H-M 'P 1'
_symmetry_Int_Tables_number 1
_cell_length_a 5.751
_cell_length_b 5.751
_cell_length_c 5.430
_cell_angle_alpha 90.00
_cell_angle_beta 90.00
_cell_angle_gamma 90.00
loop_
_symmetry_equiv_pos_as_xyz
'x,y,z'
loop_
_atom_site_label
_atom_site_fract_x
_atom_site_fract_y
_atom_site_fract_z
_atom_site_occupancy
Mn1 0.500 0.500 0.500 1
I1 0.500 0.000 0.000 1
Te1 0.000 0.000 0.500 1
I2 0.000 0.500 0.000 1
Nb1 0.000 0.000 0.000 1



No. 3
# MnNbTl2I PBE relaxed
# - SG = No. 123
# - DFT total energy (eV per atom) = -3.66
data_MnNbTl2I
_chemical_formula_sum 'Mn1 Nb1 Tl2 I1'
_symmetry_space_group_name_H-M 'P 1'
_symmetry_Int_Tables_number 1
_cell_length_a 6.281
_cell_length_b 5.293
_cell_length_c 6.281
_cell_angle_alpha 90.00
_cell_angle_beta 90.00
_cell_angle_gamma 90.00
loop_
_symmetry_equiv_pos_as_xyz
'x,y,z'
loop_
_atom_site_label
_atom_site_fract_x
_atom_site_fract_y
_atom_site_fract_z
_atom_site_occupancy
Nb1 0.000 0.500 0.000 1
Tl1 0.500 0.000 0.000 1
Mn1 0.500 0.500 0.500 1
Tl2 0.000 0.000 0.500 1
I1 0.000 0.000 0.000 1



No. 4
# MnNb2WI PBE relaxed
# - SG = No. 123
# - DFT total energy (eV per atom) = -7.39
data_MnNb2WI
_chemical_formula_sum 'Mn1 Nb2 W1 I1'
_symmetry_space_group_name_H-M 'P 1'
_symmetry_Int_Tables_number 1
_cell_length_a 4.951
_cell_length_b 4.907
_cell_length_c 4.951
_cell_angle_alpha 90.00
_cell_angle_beta 90.00
_cell_angle_gamma 90.00
loop_
_symmetry_equiv_pos_as_xyz
'x,y,z'
loop_
_atom_site_label
_atom_site_fract_x
_atom_site_fract_y
_atom_site_fract_z
_atom_site_occupancy
Nb1 0.500 0.000 0.000 1
Mn1 0.000 0.500 0.000 1
W1 0.000 0.000 0.000 1
I1 0.500 0.500 0.500 1
Nb2 0.000 0.000 0.500 1



No. 5
# Mn2NbZnI PBE relaxed
# - SG = No. 123
# - DFT total energy (eV per atom) = -4.46
data_Mn2NbZnI
_chemical_formula_sum 'Mn2 Nb1 Zn1 I1'
_symmetry_space_group_name_H-M 'P 1'
_symmetry_Int_Tables_number 1
_cell_length_a 4.559
_cell_length_b 5.042
_cell_length_c 4.559
_cell_angle_alpha 90.00
_cell_angle_beta 90.00
_cell_angle_gamma 90.00
loop_
_symmetry_equiv_pos_as_xyz
'x,y,z'
loop_
_atom_site_label
_atom_site_fract_x
_atom_site_fract_y
_atom_site_fract_z
_atom_site_occupancy
Mn1 0.000 0.000 0.500 1
Zn1 0.500 0.500 0.500 1
Mn2 0.500 0.000 0.000 1
Nb1 0.000 0.500 0.000 1
I1 0.000 0.000 0.000 1



No. 6
# Nd4MnI5 PBE relaxed
# - SG = No. 12
# - DFT total energy (eV per atom) = -4.54
data_Nd4MnI5
_chemical_formula_sum 'Nd4 Mn1 I5'
_symmetry_space_group_name_H-M 'P 1'
_symmetry_Int_Tables_number 1
_cell_length_a 4.245
_cell_length_b 9.576
_cell_length_c 10.038
_cell_angle_alpha 103.44
_cell_angle_beta 102.21
_cell_angle_gamma 90.00
loop_
_symmetry_equiv_pos_as_xyz
'x,y,z'
loop_
_atom_site_label
_atom_site_fract_x
_atom_site_fract_y
_atom_site_fract_z
_atom_site_occupancy
I1 0.167 0.327 0.334 1
I2 0.500 0.500 0.000 1
Mn1 0.500 0.000 0.000 1
Nd1 0.000 0.775 0.000 1
I3 0.830 0.160 0.661 1
Nd2 0.000 0.225 0.000 1
I4 0.833 0.673 0.666 1
I5 0.170 0.840 0.339 1
Nd3 0.631 0.066 0.263 1
Nd4 0.369 0.934 0.737 1



No. 7
# Nd7MnI12 PBE relaxed
# - SG = No. 148
# - DFT total energy (eV per atom) = -4.23
data_Nd7MnI12
_chemical_formula_sum 'Nd7 Mn1 I12'
_symmetry_space_group_name_H-M 'P 1'
_symmetry_Int_Tables_number 1
_cell_length_a 11.193
_cell_length_b 10.026
_cell_length_c 10.026
_cell_angle_alpha 106.99
_cell_angle_beta 111.85
_cell_angle_gamma 111.85
loop_
_symmetry_equiv_pos_as_xyz
'x,y,z'
loop_
_atom_site_label
_atom_site_fract_x
_atom_site_fract_y
_atom_site_fract_z
_atom_site_occupancy
I1 0.464 0.079 0.305 1
Nd1 0.295 0.272 0.200 1
Nd2 0.976 0.072 0.272 1
I2 0.774 0.457 0.848 1
I3 0.926 0.152 0.609 1
Nd3 0.500 0.000 0.000 1
I4 0.385 0.226 0.921 1
Mn1 0.000 0.000 0.000 1
I5 0.536 0.921 0.695 1
I6 0.683 0.609 0.457 1
I7 0.226 0.543 0.152 1
Nd4 0.095 0.800 0.072 1
I8 0.841 0.305 0.226 1
Nd5 0.705 0.728 0.800 1
Nd6 0.905 0.200 0.928 1
I9 0.159 0.695 0.774 1
I10 0.074 0.848 0.391 1
Nd7 0.024 0.928 0.728 1
I11 0.317 0.391 0.543 1
I12 0.615 0.774 0.079 1



No. 8
# RbNdMnI6 PBE relaxed
# - SG = No. 163
# - DFT total energy (eV per atom) = -3.79
data_RbNdMnI6
_chemical_formula_sum 'Rb2 Nd2 Mn2 I12'
_symmetry_space_group_name_H-M 'P 1'
_symmetry_Int_Tables_number 1
_cell_length_a 7.856
_cell_length_b 7.856
_cell_length_c 16.405
_cell_angle_alpha 90.00
_cell_angle_beta 90.00
_cell_angle_gamma 120.00
loop_
_symmetry_equiv_pos_as_xyz
'x,y,z'
loop_
_atom_site_label
_atom_site_fract_x
_atom_site_fract_y
_atom_site_fract_z
_atom_site_occupancy
Nd1 0.333 0.667 0.250 1
Rb1 0.000 0.000 0.500 1
I1 0.980 0.619 0.356 1
I2 0.980 0.361 0.144 1
Rb2 0.000 0.000 0.000 1
I3 0.619 0.980 0.856 1
Nd2 0.667 0.333 0.750 1
I4 0.361 0.980 0.644 1
I5 0.619 0.639 0.644 1
I6 0.381 0.020 0.144 1
I7 0.020 0.381 0.644 1
I8 0.381 0.361 0.356 1
I9 0.639 0.619 0.144 1
I10 0.020 0.639 0.856 1
Mn1 0.667 0.333 0.250 1
I11 0.361 0.381 0.856 1
Mn2 0.333 0.667 0.750 1
I12 0.639 0.020 0.356 1



Number 1: formation energy from raw total energies 1.435 eV per atom, D(E_F) 4.8 states/eV/f.u.. Number 2: formation energy from raw total energies 0.498 eV per atom, D(E_F) 5.7 states/eV/f.u.. Number 3: formation energy from raw total energies 1.441 eV per atom, D(E_F) 4.8 states/eV/f.u.. Number 4: formation energy from raw total energies 1.372 eV per atom, D(E_F) 4.4 states/eV/f.u.. Number 5: formation energy from raw total energies 1.789 eV per atom, D(E_F) 7.0 states/eV/f.u.. Number 6: formation energy from raw total energies -0.939 eV per atom, D(E_F) 5.7 states/eV/f.u.. Number 7: formation energy from raw total energies -1.173 eV per atom, D(E_F) 7.3 states/eV/f.u.. Number 8: formation energy from raw total energies -1.098 eV per atom, D(E_F) 0.0 states/eV/f.u..